No. 1
{
  "formula": "Pr2Nd3Tm3",
  "functional": "PBE",
  "state": "optimized geometry",
  "cell": [[-5.144, -2.839, 1.194], [1.582, -4.440, -3.742], [5.069, 0.053, 6.914]],
  "species": ["Tm", "Nd", "Pr", "Nd", "Tm", "Nd", "Tm", "Pr"],
  "fractional_positions": [[0.878, 0.378, 0.757], [0.500, 0.500, 0.000], [0.755, 0.755, 0.510], [0.375, 0.875, 0.750], [0.000, 0.000, 0.000], [0.625, 0.125, 0.250], [0.122, 0.622, 0.243], [0.245, 0.245, 0.490]],
  "magnetic_moment_mub_per_fu": 0.0,
  "space_group": "Immm (71)",
  "relative_energy_mev_per_atom": 94,
  "delta_e_f_ev_per_atom": 0.115
}



No. 2
{
  "formula": "PrNd2Tm4",
  "functional": "PBE",
  "state": "optimized geometry",
  "cell": [[-8.734, 3.382, -0.517], [-1.491, -1.225, 8.802], [4.421, 5.332, -4.878]],
  "species": ["Pr", "Tm", "Tm", "Tm", "Nd", "Tm", "Nd", "Tm", "Nd", "Nd", "Tm", "Pr", "Tm", "Tm"],
  "fractional_positions": [[0.078, 0.268, 0.994], [0.298, 0.036, 0.228], [0.452, 0.642, 0.700], [0.930, 0.115, 0.189], [0.675, 0.964, 0.307], [0.818, 0.560, 0.737], [0.175, 0.446, 0.759], [0.036, 0.814, 0.288], [0.575, 0.231, 0.168], [0.675, 0.412, 0.939], [0.351, 0.067, 0.698], [0.074, 0.715, 0.622], [0.713, 0.865, 0.641], [0.400, 0.612, 0.229]],
  "magnetic_moment_mub_per_fu": 0.0,
  "space_group": "P1 (1)",
  "relative_energy_mev_per_atom": 135,
  "delta_e_f_ev_per_atom": 0.158
}



No. 3
{
  "formula": "Pr2Nd6Tm",
  "functional": "PBE",
  "state": "optimized geometry",
  "cell": [[6.269, -0.107, -0.103], [1.168, 10.126, 1.498], [1.168, 1.825, 10.072]],
  "species": ["Pr", "Pr", "Tm", "Nd", "Nd", "Tm", "Nd", "Pr", "Nd", "Nd", "Nd", "Nd", "Nd", "Nd", "Nd", "Nd", "Nd", "Pr"],
  "fractional_positions": [[0.426, 0.566, 0.772], [0.926, 0.772, 0.566], [0.250, 0.101, 0.899], [0.487, 0.689, 0.409], [0.854, 0.656, 0.925], [0.750, 0.899, 0.101], [0.179, 0.973, 0.252], [0.574, 0.434, 0.228], [0.821, 0.027, 0.748], [0.646, 0.075, 0.344], [0.987, 0.409, 0.689], [0.013, 0.591, 0.311], [0.513, 0.311, 0.591], [0.321, 0.748, 0.027], [0.354, 0.925, 0.656], [0.679, 0.252, 0.973], [0.146, 0.344, 0.075], [0.074, 0.228, 0.434]],
  "magnetic_moment_mub_per_fu": 0.0,
  "space_group": "C2/c (15)",
  "relative_energy_mev_per_atom": 26,
  "delta_e_f_ev_per_atom": 0.080
}



No. 4
{
  "formula": "Pr12NdTm3",
  "functional": "PBE",
  "state": "optimized geometry",
  "cell": [[5.187, 0.000, 0.000], [0.000, 5.187, 0.000], [0.000, 0.000, 20.732]],
  "species": ["Pr", "Pr", "Pr", "Nd", "Pr", "Pr", "Tm", "Pr", "Tm", "Tm", "Pr", "Pr", "Pr", "Pr", "Pr", "Pr"],
  "fractional_positions": [[0.500, 0.000, 0.376], [0.500, 0.500, 0.000], [0.500, 0.000, 0.624], [0.000, 0.000, 0.000], [0.500, 0.000, 0.128], [0.500, 0.500, 0.252], [0.000, 0.000, 0.500], [0.000, 0.500, 0.624], [0.000, 0.000, 0.748], [0.000, 0.000, 0.252], [0.000, 0.500, 0.128], [0.500, 0.000, 0.872], [0.000, 0.500, 0.872], [0.000, 0.500, 0.376], [0.500, 0.500, 0.500], [0.500, 0.500, 0.748]],
  "magnetic_moment_mub_per_fu": 0.0,
  "space_group": "P4/mmm (123)",
  "delta_e_f_ev_per_atom": 0.013
}



No. 5
{
  "formula": "Pr4NdTm15",
  "functional": "PBE",
  "state": "optimized geometry",
  "cell": [[5.020, 0.000, 0.000], [0.000, 5.020, 0.000], [0.000, 0.000, 24.940]],
  "species": ["Pr", "Tm", "Pr", "Tm", "Tm", "Tm", "Tm", "Tm", "Tm", "Tm", "Tm", "Tm", "Pr", "Tm", "Tm", "Pr", "Nd", "Tm", "Tm", "Tm"],
  "fractional_positions": [[0.000, 0.000, 0.600], [0.000, 0.500, 0.700], [0.000, 0.000, 0.400], [0.500, 0.500, 0.800], [0.000, 0.500, 0.900], [0.500, 0.000, 0.700], [0.500, 0.500, 0.400], [0.000, 0.500, 0.100], [0.500, 0.000, 0.300], [0.500, 0.500, 0.200], [0.500, 0.000, 0.100], [0.500, 0.000, 0.900], [0.000, 0.000, 0.800], [0.500, 0.000, 0.500], [0.500, 0.500, 0.000], [0.000, 0.000, 0.200], [0.000, 0.000, 0.000], [0.000, 0.500, 0.500], [0.500, 0.500, 0.600], [0.000, 0.500, 0.300]],
  "magnetic_moment_mub_per_fu": 0.0,
  "space_group": "P4/mmm (123)",
  "delta_e_f_ev_per_atom": 0.029
}



No. 6
{
  "formula": "Pr8Nd3Tm2",
  "functional": "PBE",
  "state": "optimized geometry",
  "cell": [[6.121, 0.284, 1.315], [1.948, 8.616, 1.496], [0.792, -0.732, 8.894]],
  "species": ["Pr", "Pr", "Nd", "Pr", "Nd", "Tm", "Pr", "Nd", "Pr", "Pr", "Tm", "Pr", "Pr"],
  "fractional_positions": [[0.672, 0.082, 0.571], [0.049, 0.847, 0.847], [0.000, 0.755, 0.245], [0.328, 0.918, 0.429], [0.500, 0.000, 0.000], [0.360, 0.289, 0.289], [0.328, 0.429, 0.918], [0.000, 0.245, 0.755], [0.791, 0.443, 0.443], [0.209, 0.557, 0.557], [0.640, 0.711, 0.711], [0.672, 0.571, 0.082], [0.951, 0.153, 0.153]],
  "magnetic_moment_mub_per_fu": 0.0,
  "space_group": "C2/m (12)",
  "relative_energy_mev_per_atom": 0,
  "delta_e_f_ev_per_atom": 0.149
}